Computed, not measured: PuSiOsC after structural relaxation at the PBE-GGA level of DFT.

Cell and atoms, written as POSCAR:
```
PuSiOsC
1.0
3.8687 0.0000 0.0000
0.0000 3.8687 0.0000
0.0000 0.0000 8.4505
Pu C Os Si
2 2 2 2
Cartesian
1.9343 0.0000 1.2938
0.0000 1.9343 7.1567
0.0000 1.9343 0.9819
1.9343 0.0000 7.4686
0.0000 0.0000 4.2253
1.9343 1.9343 4.2253
1.9343 0.0000 5.6408
0.0000 1.9343 2.8097
```

Properties
As for the size of the total moment: 4.50 μB per formula unit. The value obtained for the formation energy without anion corrections is -195.4 meV per atom. The total energy comes out at -10.2476 eV/atom. The density of states at the Fermi level comes out at 15.89 states/eV/cell. The calculation puts the density at 12455 kg/m3.